1.
First-principles (PBE) data for crystalline Li9CaCu3 at its relaxed geometry, as listed in Alexandria via LeMat-Bulk.

Cell and atoms, written as extended XYZ:
```
13
Lattice="2.554 -6.626 0.000 2.554 6.626 0.000 -2.369 0.000 6.730" Properties=species:S:1:pos:R:3 pbc="T T T"
Li 0.000 0.000 0.000
Li -1.117 1.515 4.835
Li 3.855 -1.515 1.895
Li 1.376 2.370 1.055
Li -1.117 -1.515 4.835
Li 1.363 2.370 5.675
Li 1.376 -2.370 1.055
Li 3.855 1.515 1.895
Li 1.363 -2.370 5.675
Ca 1.369 0.000 3.365
Cu 0.092 3.313 3.365
Cu 0.092 -3.313 3.365
Cu 2.554 0.000 0.000
```

Calculated values
**Energy relative to the elements**: -12 meV/atom

=====

2.
First-principles (PBE) data for crystalline ZrNiPdPt at its relaxed geometry, as listed in Alexandria via LeMat-Bulk.

Cell and atoms, written as extended XYZ:
```
4
Lattice="0.000 3.180 3.180 3.180 0.000 3.180 3.180 3.180 0.000" Properties=species:S:1:pos:R:3 pbc="T T T"
Zr 0.000 0.000 0.000
Ni 3.180 3.180 3.180
Pd 1.590 1.590 1.590
Pt 4.770 4.770 4.770
```

Calculated values
**Energy relative to the elements**: -569 meV/atom

=====

3.
First-principles (PBE) data for crystalline CuPd2Pb at its relaxed geometry, as listed in Alexandria via LeMat-Bulk.

Cell and atoms, written as extended XYZ:
```
8
Lattice="-1.997 1.997 9.301 1.997 -1.997 9.301 1.997 1.997 -9.301" Properties=species:S:1:pos:R:3 pbc="T T T"
Cu 0.000 0.000 0.000
Cu 0.000 1.997 4.650
Pd 2.996 0.923 -2.325
Pd 0.923 0.999 2.325
Pd -0.999 1.075 6.976
Pd 1.075 0.999 11.626
Pb 1.997 0.000 4.650
Pb 0.000 0.000 9.301
```

Calculated values
**Energy relative to the elements**: 76 meV/atom

=====

4.
First-principles (PBE) data for crystalline Ti2Cd2C at its relaxed geometry, as listed in Alexandria via LeMat-Bulk.

Cell and atoms, written as extended XYZ:
```
10
Lattice="5.747 0.000 0.000 0.000 5.747 0.000 0.000 0.000 5.154" Properties=species:S:1:pos:R:3 pbc="T T T"
Ti 0.971 1.903 0.000
Ti 1.903 4.777 0.000
Ti 3.844 0.971 0.000
Ti 4.777 3.844 0.000
Cd 0.960 3.833 2.577
Cd 1.914 0.960 2.577
Cd 3.833 4.788 2.577
Cd 4.788 1.914 2.577
C 0.000 0.000 0.000
C 2.874 2.874 0.000
```

Calculated values
**Energy relative to the elements**: 99 meV/atom
**Relative energy among the computed polymorphs**: 531 meV per atom

=====

5.
First-principles (PBE) data for crystalline SmAlCu2Au4 at its relaxed geometry, as listed in Alexandria via LeMat-Bulk.

Cell and atoms, written as extended XYZ:
```
8
Lattice="2.217 1.280 8.636 -2.217 1.280 8.636 0.000 -2.560 8.636" Properties=species:S:1:pos:R:3 pbc="T T T"
Sm 0.000 0.000 0.000
Al 0.000 0.000 12.955
Cu 0.000 0.000 6.241
Cu 0.000 0.000 19.668
Au 0.000 0.000 3.424
Au 0.000 0.000 10.307
Au 0.000 0.000 15.602
Au 0.000 0.000 22.486
```

Calculated values
**Energy relative to the elements**: -372 meV/atom

=====

6.
First-principles (PBE) data for crystalline LiTmZr at its relaxed geometry, as listed in Alexandria via LeMat-Bulk.

Cell and atoms, written as extended XYZ:
```
6
Lattice="3.366 0.000 0.000 -0.009 5.187 0.000 -1.669 -0.921 8.182" Properties=species:S:1:pos:R:3 pbc="T T T"
Li 0.002 0.890 1.111
Li 1.687 3.377 7.072
Tm 0.008 0.842 6.517
Tm 1.680 3.424 1.666
Zr -0.002 3.434 4.434
Zr 1.690 0.833 3.749
```

Calculated values
**Energy relative to the elements**: 97 meV/atom
**Relative energy among the computed polymorphs**: 0 meV per atom

=====

7.
First-principles (PBE) data for crystalline La4Y11S22 at its relaxed geometry, as listed in Alexandria via LeMat-Bulk.

Cell and atoms, written as extended XYZ:
```
37
Lattice="19.804 -1.997 0.000 19.804 1.997 0.000 -0.351 0.000 11.434" Properties=species:S:1:pos:R:3 pbc="T T T"
La 4.159 0.000 0.130
La 14.418 0.000 3.992
La 24.840 0.000 7.443
La 35.099 0.000 11.304
Y 0.000 0.000 0.000
Y 2.657 0.000 4.113
Y 7.685 0.000 10.760
Y 10.318 0.000 4.013
Y 13.295 0.000 7.997
Y 18.183 0.000 3.085
Y 21.075 0.000 8.349
Y 25.963 0.000 3.437
Y 28.940 0.000 7.422
Y 31.573 0.000 0.675
Y 36.601 0.000 7.322
S 0.219 0.000 2.752
S 3.214 0.000 8.613
S 5.197 0.000 5.171
S 6.637 0.000 1.717
S 7.248 0.000 7.895
S 10.058 0.000 1.356
S 10.874 0.000 6.745
S 13.831 0.000 1.054
S 15.823 0.000 9.022
S 17.380 0.000 5.633
S 17.944 0.000 0.338
S 21.314 0.000 11.097
S 21.878 0.000 5.802
S 23.435 0.000 2.412
S 25.427 0.000 10.380
S 28.384 0.000 4.689
S 29.200 0.000 10.079
S 32.010 0.000 3.539
S 32.621 0.000 9.717
S 34.061 0.000 6.263
S 36.044 0.000 2.822
S 39.039 0.000 8.682
```

Calculated values
**Formation energy from raw total energies**: -2140.8 meV/atom

=====

8.
First-principles (PBE) data for crystalline SrCdHg2 at its relaxed geometry, as listed in Alexandria via LeMat-Bulk.

Cell and atoms, written as extended XYZ:
```
4
Lattice="3.720 0.000 0.000 0.000 5.257 0.000 -0.015 0.000 5.965" Properties=species:S:1:pos:R:3 pbc="T T T"
Sr 0.000 0.000 0.000
Cd 1.865 2.629 1.633
Hg 1.841 2.629 4.620
Hg 1.853 0.000 2.992
```

Calculated values
**Energy relative to the elements**: -295 meV/atom

=====

| no. | total magnetic moment (μB per formula unit) |
| --- | --- |
| 1 | 0.00 |
| 2 | 0.00 |
| 3 | 0.00 |
| 4 | 0.00 |
| 5 | 0.00 |
| 6 | 0.00 |
| 7 | 0.00 |
| 8 | 0.00 |